Below is a geometry-optimized LiAc3Al2Pd6 structure, with properties calculated at the GGA-PBE level.

Summary:
* formation energy from the elements: -0.63 eV/atom
* final energy: -5.0338 eV/atom

Cell lengths 5.970, 5.970, 8.801 Å; angles 90.00, 90.00, 120.00 degrees
Fractional positions:
Li (0.000, 0.000, 0.000)
Ac (0.000, 0.000, 0.500)
Ac (0.333, 0.667, 0.147)
Ac (0.667, 0.333, 0.853)
Al (0.333, 0.667, 0.575)
Al (0.667, 0.333, 0.425)
Pd (0.171, 0.343, 0.796)
Pd (0.171, 0.829, 0.796)
Pd (0.343, 0.171, 0.204)
Pd (0.657, 0.829, 0.796)
Pd (0.829, 0.171, 0.204)
Pd (0.829, 0.657, 0.204)